# 1
First-principles (GGA-PBE) data for a geometry-optimized RbBa2As structure, as listed in Alexandria.

Values from the calculation:
Symmetry: No. 225
ΔE to the lowest computed polymorph in meV per atom: 472.9
Energy relative to the elements in eV/atom: -0.177

a = 6.061 Å, b = 6.061 Å, c = 6.061 Å
α = 60.00°, β = 60.00°, γ = 60.00°
Positions (direct):
As: 0.000 0.000 0.000
Ba: 0.250 0.250 0.250
Ba: 0.750 0.750 0.750
Rb: 0.500 0.500 0.500

# 2
First-principles (GGA-PBE) data for a geometry-optimized RbBa2As2 structure, as listed in Alexandria.

Values from the calculation:
Symmetry: No. 139
ΔE to the lowest computed polymorph in meV per atom: 192.5
Energy relative to the elements in eV/atom: -0.576

a = 6.085 Å, b = 6.085 Å, c = 7.532 Å
α = 66.18°, β = 66.18°, γ = 90.00°
Positions (direct):
Rb: 0.000 0.000 0.000
As: 0.250 0.750 0.500
As: 0.750 0.250 0.500
Ba: 0.672 0.672 0.655
Ba: 0.328 0.328 0.345

# 3
First-principles (GGA-PBE) data for a geometry-optimized RbBaAs2 structure, as listed in Alexandria.

Values from the calculation:
Symmetry: No. 122
ΔE to the lowest computed polymorph in meV per atom: 106.9
Energy relative to the elements in eV/atom: -0.192

a = 5.546 Å, b = 5.546 Å, c = 11.609 Å
α = 76.18°, β = 76.18°, γ = 90.00°
Positions (direct):
As: 0.763 0.125 0.250
As: 0.987 0.625 0.250
As: 0.875 0.013 0.750
As: 0.375 0.237 0.750
Rb: 0.500 0.500 0.000
Rb: 0.250 0.750 0.500
Ba: 0.000 0.000 0.000
Ba: 0.750 0.250 0.500

# 4
First-principles (GGA-PBE) data for a geometry-optimized Rb2BaAs2 structure, as listed in Alexandria.

Values from the calculation:
Symmetry: No. 127
ΔE to the lowest computed polymorph in meV per atom: 0.0
Energy relative to the elements in eV/atom: -0.460

a = 8.262 Å, b = 8.262 Å, c = 5.742 Å
α = 90.00°, β = 90.00°, γ = 90.00°
Positions (direct):
As: 0.392 0.892 0.000
As: 0.608 0.108 0.000
As: 0.108 0.392 0.000
As: 0.892 0.608 0.000
Rb: 0.339 0.161 0.500
Rb: 0.661 0.839 0.500
Rb: 0.161 0.661 0.500
Rb: 0.839 0.339 0.500
Ba: 0.000 0.000 0.000
Ba: 0.500 0.500 0.000

# 5
First-principles (GGA-PBE) data for a geometry-optimized Rb2BaAs2S6 structure, as listed in Alexandria.

Values from the calculation:
Energy in Ry/atom: -0.310
Symmetry: No. 12

a = 7.870 Å, b = 7.137 Å, c = 8.782 Å
α = 106.70°, β = 90.00°, γ = 123.46°
Positions (direct):
As: 0.967 0.934 0.632
As: 0.033 0.066 0.368
Rb: 0.310 0.620 0.863
Rb: 0.690 0.380 0.137
S: 0.177 0.904 0.225
S: 0.273 0.096 0.775
S: 0.823 0.096 0.775
S: 0.224 0.448 0.459
S: 0.776 0.552 0.541
S: 0.727 0.904 0.225
Ba: 0.500 0.000 0.500

# 6
First-principles (GGA-PBE) data for a geometry-optimized Rb2BaAsS4 structure, as listed in Alexandria.

Values from the calculation:
Energy in Ry/atom: -0.287
Symmetry: No. 15

a = 8.719 Å, b = 8.719 Å, c = 9.398 Å
α = 118.26°, β = 118.26°, γ = 87.53°
Positions (direct):
Rb: 0.500 0.000 0.000
Rb: 0.000 0.000 0.500
Rb: 0.500 0.000 0.500
Rb: 0.500 0.500 0.000
As: 0.500 0.500 0.500
As: 0.000 0.000 0.000
S: 0.150 0.156 0.934
S: 0.344 0.350 0.566
S: 0.656 0.650 0.434
S: 0.272 0.677 0.456
S: 0.728 0.323 0.544
S: 0.850 0.844 0.066
S: 0.177 0.772 0.956
S: 0.823 0.228 0.044
Ba: 0.000 0.500 0.500
Ba: 0.000 0.500 0.000